ZnNi2O4 | PBE with a Hubbard U | optimized geometry

Values from the calculation:
- SG = R3m, No. 160
- density of states at the Fermi level (states/eV/atom) = 0.25
- energy above the lowest structure with this stoichiometry (meV/atom) = 102
- total energy (eV per formula unit) = -32.340

a b c (Å): 5.899 5.899 5.899
angles (deg): 59.91 59.91 59.91
Positions (direct):
1 Zn 0.000 0.000 0.000
2 Zn 0.382 0.382 0.382
3 Ni 0.378 0.378 0.886
4 Ni 0.378 0.886 0.378
5 Ni 0.761 0.761 0.761
6 Ni 0.886 0.378 0.378
7 O 0.134 0.134 0.134
8 O 0.135 0.135 0.591
9 O 0.135 0.591 0.135
10 O 0.159 0.632 0.632
11 O 0.591 0.135 0.135
12 O 0.632 0.159 0.632
13 O 0.632 0.632 0.159
14 O 0.633 0.633 0.633